ScBeFe | PBE | relaxed

```
ScBeFe
1.0
3.972 0.000 0.000
1.986 3.440 0.000
1.986 1.147 3.243
Sc Fe Be
1 1 1
Cartesian
3.972 2.293 1.622 Sc
0.000 0.000 0.000 Fe
5.958 3.440 2.432 Be
```

Properties
As for the formation energy: 307 meV/atom. As for the offset from the most stable computed form: 498 meV per atom. As for the symmetry: F-43m (216). As for the total energy: -5.87 eV/atom. The calculation puts the total moment at 0.2658 μB per atom.